Record 1
The following is a PBE-GGA calculation of an optimized crystal structure of PmSmHgBr, from Alexandria via LeMat-Bulk. Values from VASP.

The structure in Quantum ESPRESSO input format:
```
&SYSTEM
  ibrav = 0, nat = 4, ntyp = 4
/
ATOMIC_SPECIES
Pm 145.00 Pm.upf
Sm 150.36 Sm.upf
Hg 200.59 Hg.upf
Br 79.90 Br.upf
ATOMIC_POSITIONS crystal
Pm 0.500 0.500 0.500
Sm 0.000 0.000 0.000
Hg 0.250 0.250 0.250
Br 0.750 0.750 0.750
CELL_PARAMETERS angstrom
-2.525 4.683 0.677
-3.735 0.506 3.816
0.994 2.979 4.348
```

Calculated values
Its total energy is -3.47 eV/atom. The energy relative to the elements, uncorrected is -0.605 eV per atom.

=====

Record 2
The following is a PBE-GGA calculation of an optimized crystal structure of TiCdPdAu, from Alexandria via LeMat-Bulk. Values from VASP.

The structure in Quantum ESPRESSO input format:
```
&SYSTEM
  ibrav = 0, nat = 4, ntyp = 4
/
ATOMIC_SPECIES
Ti 47.87 Ti.upf
Pd 106.42 Pd.upf
Cd 112.41 Cd.upf
Au 196.97 Au.upf
ATOMIC_POSITIONS crystal
Ti 0.000 0.000 0.557
Pd 0.500 0.500 0.356
Cd 0.000 0.000 0.079
Au 0.500 0.500 0.793
CELL_PARAMETERS angstrom
-1.062 2.912 -1.056
-1.935 0.248 2.630
4.881 2.980 3.310
```

Calculated values
Its total energy is -4.74 eV/atom. The formation energy from the elements comes out at -416 meV per atom.

=====

Record 3
The following is a PBE-GGA calculation of an optimized crystal structure of NdDyCdTc, from Alexandria via LeMat-Bulk. Values from VASP.

The structure in Quantum ESPRESSO input format:
```
&SYSTEM
  ibrav = 0, nat = 4, ntyp = 4
/
ATOMIC_SPECIES
Tc 98.00 Tc.upf
Nd 144.24 Nd.upf
Cd 112.41 Cd.upf
Dy 162.50 Dy.upf
ATOMIC_POSITIONS crystal
Tc 0.250 0.250 0.250
Nd 0.000 0.000 0.000
Cd 0.750 0.750 0.750
Dy 0.500 0.500 0.500
CELL_PARAMETERS angstrom
5.120 0.000 0.000
2.560 4.434 0.000
2.560 1.478 4.180
```

Calculated values
Its total energy is -5.19 eV/atom. The formation energy from the elements comes out at -30 meV per atom.

=====

Record 4
The following is a PBE-GGA calculation of an optimized crystal structure of P2S, from Alexandria via LeMat-Bulk. Values from VASP.

The structure in Quantum ESPRESSO input format:
```
&SYSTEM
  ibrav = 0, nat = 6, ntyp = 2
/
ATOMIC_SPECIES
P 30.97 P.upf
S 32.06 S.upf
ATOMIC_POSITIONS crystal
P 0.917 0.500 0.636
P 0.093 0.000 0.474
P 0.093 0.500 0.974
P 0.917 0.000 0.136
S 0.628 0.000 0.134
S 0.628 0.500 0.634
CELL_PARAMETERS angstrom
-5.196 3.819 -1.530
-2.137 -2.771 0.340
-0.702 1.244 5.731
```

Calculated values
Its total energy is -4.83 eV/atom. The energy relative to the elements, uncorrected is 0.152 eV per atom.

=====

Record 5
The following is a PBE-GGA calculation of an optimized crystal structure of BeCu2Se, from Alexandria via LeMat-Bulk. Values from VASP.

The structure in Quantum ESPRESSO input format:
```
&SYSTEM
  ibrav = 0, nat = 4, ntyp = 3
/
ATOMIC_SPECIES
Cu 63.55 Cu.upf
Be 9.01 Be.upf
Se 78.96 Se.upf
ATOMIC_POSITIONS crystal
Cu 0.000 0.368 0.563
Cu 0.000 0.132 0.937
Be 0.500 0.750 0.750
Se 0.500 0.250 0.250
CELL_PARAMETERS angstrom
-2.361 2.274 1.897
-1.147 -2.178 1.183
4.241 1.552 3.418
```

Calculated values
Its total energy is -3.70 eV/atom. The energy relative to the elements, uncorrected is 0.154 eV per atom.

=====

Record 6
The following is a PBE-GGA calculation of an optimized crystal structure of ErHgC, from Alexandria via LeMat-Bulk. Values from VASP.

The structure in Quantum ESPRESSO input format:
```
&SYSTEM
  ibrav = 0, nat = 6, ntyp = 3
/
ATOMIC_SPECIES
C 12.01 C.upf
Er 167.26 Er.upf
Hg 200.59 Hg.upf
ATOMIC_POSITIONS crystal
C 0.886 0.550 0.934
C 0.114 0.450 0.066
Er 0.552 0.277 0.256
Er 0.448 0.723 0.744
Hg 0.074 0.779 0.323
Hg 0.926 0.221 0.677
CELL_PARAMETERS angstrom
3.854 -0.059 0.014
0.131 5.409 0.005
0.858 1.284 6.069
```

Calculated values
Its total energy is -4.84 eV/atom. The formation energy from the elements comes out at -145 meV per atom.

=====

Record 7
The following is a PBE-GGA calculation of an optimized crystal structure of BaMnCr3, from Alexandria via LeMat-Bulk. Values from VASP.

The structure in Quantum ESPRESSO input format:
```
&SYSTEM
  ibrav = 0, nat = 5, ntyp = 3
/
ATOMIC_SPECIES
Mn 54.94 Mn.upf
Cr 52.00 Cr.upf
Ba 137.33 Ba.upf
ATOMIC_POSITIONS crystal
Mn 0.500 0.500 0.500
Cr 0.000 0.000 0.500
Cr 0.000 0.500 0.000
Cr 0.500 0.000 0.000
Ba 0.000 0.000 0.000
CELL_PARAMETERS angstrom
4.991 0.000 0.000
0.000 4.991 0.000
0.000 0.000 4.991
```

Calculated values
Its total energy is -4.99 eV/atom. The formation energy from the elements comes out at 3003 meV per atom.

=====

Record 8
The following is a PBE-GGA calculation of an optimized crystal structure of TbPuPd14, from Alexandria via LeMat-Bulk. Values from VASP.

The structure in Quantum ESPRESSO input format:
```
&SYSTEM
  ibrav = 0, nat = 16, ntyp = 3
/
ATOMIC_SPECIES
Pd 106.42 Pd.upf
Pu 244.00 Pu.upf
Tb 158.93 Tb.upf
ATOMIC_POSITIONS crystal
Pd 0.624 0.624 0.243
Pd 0.875 0.875 0.000
Pd 0.375 0.875 0.000
Pd 0.624 0.624 0.757
Pd 0.624 0.126 0.757
Pd 0.624 0.126 0.243
Pd 0.875 0.375 0.000
Pd 0.126 0.624 0.757
Pd 0.375 0.375 0.000
Pd 0.126 0.624 0.243
Pd 0.875 0.375 0.500
Pd 0.126 0.126 0.243
Pd 0.126 0.126 0.757
Pd 0.375 0.875 0.500
Pu 0.375 0.375 0.500
Tb 0.875 0.875 0.500
CELL_PARAMETERS angstrom
-3.582 4.273 -1.591
-4.220 -2.340 3.215
2.348 4.273 6.192
```

Calculated values
Its total energy is -6.08 eV/atom. The formation energy from the elements comes out at -347 meV per atom.